## Ac2GeBi (PBE-GGA)

Data for a relaxed structure of Ac2GeBi. Values from VASP.

Cell and atoms, written as Quantum ESPRESSO input:
```
&SYSTEM
  ibrav = 0, nat = 8, ntyp = 3
/
ATOMIC_SPECIES
Ac 227.00 Ac.upf
Ge 72.64 Ge.upf
Bi 208.98 Bi.upf
CELL_PARAMETERS angstrom
4.602 0.000 0.000
0.000 4.796 -0.852
0.000 -0.145 13.110
ATOMIC_POSITIONS crystal
Ac 0.750 0.679 0.357
Ac 0.250 0.321 0.643
Ac 0.750 0.940 0.879
Ac 0.250 0.060 0.121
Ge 0.250 0.463 0.927
Ge 0.750 0.537 0.073
Bi 0.250 0.189 0.378
Bi 0.750 0.811 0.622
```

**Energy above the most stable polymorph in this dataset**: 0 meV/atom
**Space-group type**: Cmcm, No. 63
**Energy relative to the elements**: -771 meV per atom
**M_tot**: 0.0 Bohr magnetons per cell